SrNbB4 after structural relaxation. Source: the Open Quantum Materials Database, functional PBE-GGA.

Values from the calculation:
Calculated total energy in eV per atom: -6.7866
Space-group type: P6/mmm (191)
Magnetization in μB/atom: 0.00
V in Å³ per cell: 67.3

a = 3.1419 Å, b = 3.1419 Å, c = 7.8715 Å
α = 90.00°, β = 90.00°, γ = 120.00°
With the nearest neighbours (Å) after each atom.
Element x y z (fractional)
B  0.3333  0.6667  0.2124  3 B 1.81
B  0.6667  0.3333  0.2124  3 B 1.81
B  0.6667  0.3333  0.7876  3 B 1.81
B  0.3333  0.6667  0.7876  3 B 1.81
Nb  0.0000  0.0000  0.0000  12 B 2.47
Sr  0.0000  0.0000  0.5000  12 B 2.90, 6 Sr 3.14